DFT (PBE+U) results for crystalline MnCuO4 at its relaxed geometry.

Geometry as POSCAR:
```
MnCuO4
1.0
-2.868 3.180 3.768
2.868 -3.180 3.768
2.868 3.180 -3.768
Mn Cu O
2 2 8
Cartesian
0.000 1.590 0.847
2.868 1.590 2.921
2.868 0.000 0.000
0.000 0.000 3.768
1.412 1.590 -0.045
1.455 -1.590 3.723
0.000 0.268 1.827
2.868 0.268 1.942
0.000 2.912 1.827
2.868 2.912 1.942
1.412 4.771 0.045
1.455 1.590 3.813
```

Volume   11.456 Å³ per atom
Size of the total moment   0.00 μB per cell
Uncorrected energy   -5.737 eV/atom
DOS at the Fermi energy   0.002 states/eV per atom